Compound: As2PtW
Source: Alexandria
Functional: PBE
Structure: optimized geometry

The structure in POSCAR format:
```
As2PtW
1.0
1.697 -2.368 0.000
1.697 2.368 0.000
0.000 0.000 8.398
As Pt W
2 1 1
Cartesian
0.000 0.000 2.027
0.000 0.000 6.371
1.697 0.000 4.199
1.697 0.000 0.000
```

Output
- Theoretical density: 13.01 Mg/m³
- Calculated formation energy: 1.6 eV/f.u.
- Raw total energy: -6.68 eV per atom

=====

Compound: Ac2Y7Er2
Source: Alexandria
Functional: PBE
Structure: optimized geometry

The structure in POSCAR format:
```
Ac2Y7Er2
1.0
5.799 -5.848 0.000
5.799 5.848 0.000
-2.499 0.000 5.658
Ac Y Er
2 7 2
Cartesian
5.799 3.341 0.000
5.799 -3.341 0.000
-1.249 0.000 2.829
2.957 3.129 1.912
2.662 0.000 0.482
6.142 3.129 3.746
2.957 -3.129 1.912
6.438 0.000 5.175
6.142 -3.129 3.746
2.984 0.000 3.883
6.116 0.000 1.775
```

Output
- Theoretical density: 6.11 Mg/m³
- Calculated formation energy: 2.1 eV/f.u.
- Raw total energy: -5.50 eV per atom

=====

Compound: Ac2CeH2O6
Source: Alexandria
Functional: PBE
Structure: optimized geometry

The structure in POSCAR format:
```
Ac2CeH2O6
1.0
2.703 1.561 5.671
-2.703 1.561 5.671
0.000 -3.121 5.671
Ac Ce H O
2 1 2 6
Cartesian
0.000 0.000 3.683
0.000 0.000 13.331
0.000 0.000 0.000
0.000 0.000 7.251
0.000 0.000 9.763
-1.281 -0.740 9.819
0.000 -1.480 7.194
-1.281 0.740 7.194
1.281 -0.740 9.819
0.000 1.480 9.819
1.281 0.740 7.194
```

Output
- Theoretical density: 8.01 Mg/m³
- Raw total energy: -6.91 eV per atom